Zr2MnW, relaxed, DFT PBE; calculated formation energy = 0.617 eV per atom; E_tot = -9.188 eV/atom
1.0
10.3435 0.3259 0.1920
9.8320 3.2288 0.1920
9.8320 1.7323 2.7316
W Zr Mn
1 2 1
direct
0.7500 0.7500 0.7500 W
0.8401 0.8401 0.8401 Zr
0.6599 0.6599 0.6599 Zr
0.2500 0.2500 0.2500 Mn